{"formula": "NdDy2Ag3Se6", "functional": "GGA-PBE", "state": "optimized geometry", "energy_ev_per_cell": -57.59, "n_ef_per_ev_cell": 0.0, "density_g_cm3": 6.39, "formation_energy_uncorrected_mev_per_atom": -1180, "cell": [[8.118, -2.124, 0.000], [8.118, 2.124, 0.000], [-2.653, 0.000, 9.540]], "species": ["Nd", "Dy", "Dy", "Ag", "Ag", "Ag", "Se", "Se", "Se", "Se", "Se", "Se"], "fractional_positions": [[0.000, 0.000, 0.000], [0.337, 0.337, 0.662], [0.663, 0.663, 0.338], [0.000, 0.000, 0.500], [0.327, 0.327, 0.041], [0.673, 0.673, 0.959], [0.158, 0.158, 0.527], [0.189, 0.189, 0.147], [0.486, 0.486, 0.205], [0.514, 0.514, 0.795], [0.811, 0.811, 0.853], [0.842, 0.842, 0.473]]}